Record 1
The following is a DFT calculation (GGA-PBE) of a relaxed structure of Pr2HoO3.

Results
The calculation puts the magnetic moment at 0.011 μB/cell. As for the uncorrected energy: -7.598 eV/atom.

Cell lengths 3.474, 3.474, 8.832 Å; angles 90.00, 90.00, 120.00 degrees
Sites, in units of the cell vectors:
Pr 0.333 0.667 0.172
Pr 0.667 0.333 0.828
Ho 0.000 0.000 0.500
O 0.000 0.000 0.000
O 0.333 0.667 0.634
O 0.667 0.333 0.366

=====

Record 2
The following is a DFT calculation (GGA-PBE) of a relaxed structure of La4Ta2Si3.

Results
The calculation puts the magnetic moment at 0.003 μB/cell. As for the uncorrected energy: -6.447 eV/atom.

Cell lengths 8.604, 8.604, 3.161 Å; angles 90.00, 90.00, 120.00 degrees
Sites, in units of the cell vectors:
La 0.000 0.000 0.000
La 0.363 0.317 0.000
La 0.683 0.045 0.000
La 0.955 0.637 0.000
Ta 0.333 0.667 0.000
Ta 0.667 0.333 0.500
Si 0.049 0.372 0.500
Si 0.324 0.951 0.500
Si 0.628 0.676 0.500

=====

Record 3
The following is a DFT calculation (GGA-PBE) of a relaxed structure of LaPmS2Cl2.

Results
The calculation puts the magnetic moment at 0.000 μB/cell. As for the uncorrected energy: -5.756 eV/atom.

Cell lengths 4.837, 4.837, 6.900 Å; angles 90.00, 90.00, 90.00 degrees
Sites, in units of the cell vectors:
La 0.000 0.000 0.000
Pm 0.500 0.500 0.592
S 0.000 0.500 0.789
S 0.500 0.000 0.789
Cl 0.000 0.000 0.404
Cl 0.500 0.500 0.194